Entry 1:
4
Lattice="3.380 0.000 0.000 0.000 3.380 0.000 0.000 0.000 7.434" Properties=species:S:1:pos:R:3 comment="SCAN LaCuHg2, PBEsol geometry" magmom_total_mub_per_atom=0.00 e_form_mev_per_atom=-259 space_group="P4/mmm, No. 123" pbc="T T T"
La 0.000 0.000 0.000
Cu 0.000 0.000 3.717
Hg 1.690 1.690 2.245
Hg 1.690 1.690 5.189

---

Entry 2:
4
Lattice="0.000 3.522 3.522 3.522 0.000 3.522 3.522 3.522 0.000" Properties=species:S:1:pos:R:3 comment="SCAN LaCuHg2, PBEsol geometry" magmom_total_mub_per_atom=0.00 e_form_mev_per_atom=-324 space_group="F-43m, No. 216" pbc="T T T"
La 0.000 0.000 0.000
Cu 5.282 5.282 5.282
Hg 1.761 1.761 1.761
Hg 3.522 3.522 3.522

---

Entry 3:
3
Lattice="0.000 3.007 3.007 3.007 0.000 3.007 3.007 3.007 0.000" Properties=species:S:1:pos:R:3 comment="SCAN LiCuHg, PBEsol geometry" magmom_total_mub_per_atom=0.00 e_form_mev_per_atom=-7 polymorph_energy_ev_per_atom=0.000 space_group="F-43m, No. 216" pbc="T T T"
Li 0.000 0.000 0.000
Cu 4.511 4.511 4.511
Hg 3.007 3.007 3.007

---

Entry 4:
4
Lattice="3.221 0.000 0.000 0.000 3.221 0.000 0.000 0.000 6.291" Properties=species:S:1:pos:R:3 comment="SCAN LiCuHg2, PBEsol geometry" magmom_total_mub_per_atom=0.00 e_form_mev_per_atom=-156 space_group="P4/mmm, No. 123" pbc="T T T"
Li 0.000 0.000 0.000
Cu 0.000 0.000 3.145
Hg 1.610 1.610 1.583
Hg 1.610 1.610 4.708

---

Entry 5:
5
Lattice="4.543 0.000 0.000 0.000 4.543 0.000 0.000 0.000 4.543" Properties=species:S:1:pos:R:3 comment="SCAN Li3CuHg, PBEsol geometry" magmom_total_mub_per_atom=0.00 e_form_mev_per_atom=116 polymorph_energy_ev_per_atom=0.000 space_group="Pm-3m, No. 221" pbc="T T T"
Li 0.000 0.000 2.271
Li 0.000 2.271 0.000
Li 2.271 0.000 0.000
Cu 0.000 0.000 0.000
Hg 2.271 2.271 2.271

---

Entry 6:
4
Lattice="1.535 0.886 8.638 -1.535 0.886 8.638 0.000 -1.773 8.638" Properties=species:S:1:pos:R:3 comment="SCAN LiCuHg2, PBEsol geometry" magmom_total_mub_per_atom=0.00 e_form_mev_per_atom=-23 space_group="R-3m, No. 166" pbc="T T T"
Li 0.000 0.000 0.000
Cu 0.000 0.000 12.957
Hg 0.000 0.000 6.422
Hg 0.000 0.000 19.491

---

Entry 7:
4
Lattice="-1.974 1.974 3.769 1.974 -1.974 3.769 1.974 1.974 -3.769" Properties=species:S:1:pos:R:3 comment="SCAN Li2CuHg, PBEsol geometry" magmom_total_mub_per_atom=0.00 e_form_mev_per_atom=-247 space_group="I-4m2, No. 119" pbc="T T T"
Li 0.000 0.000 0.000
Li 0.000 1.974 1.885
Cu 1.974 0.000 1.885
Hg 0.000 0.000 3.769

---

Entry 8:
5
Lattice="4.811 0.000 0.000 0.000 4.811 0.000 0.000 0.000 4.811" Properties=species:S:1:pos:R:3 comment="SCAN LiCu3Hg, PBEsol geometry" magmom_total_mub_per_atom=0.00 e_form_mev_per_atom=718 space_group="Pm-3m, No. 221" pbc="T T T"
Li 0.000 0.000 0.000
Cu 0.000 2.405 2.405
Cu 2.405 0.000 2.405
Cu 2.405 2.405 0.000
Hg 2.405 2.405 2.405